# PmZrNbN3

Crystalline PmZrNbN3 at its relaxed geometry (PBE, the Alexandria database).

Output
**E_form (uncorrected)**: -1.425 eV per atom
**Crystal system**: monoclinic
**Calculated volume**: 13.1 Å³ per atom
**Mass density**: 7.82 g cm⁻³

Geometry as POSCAR:
```
PmZrNbN3
1.0
3.314 0.000 0.000
0.000 5.719 0.171
0.000 -2.139 8.251
Nb Zr Pm N
2 2 2 6
direct
0.250 0.124 0.634
0.750 0.876 0.366
0.750 0.233 0.952
0.250 0.767 0.048
0.750 0.647 0.691
0.250 0.353 0.309
0.250 0.752 0.489
0.750 0.248 0.511
0.750 0.562 0.158
0.250 0.962 0.845
0.750 0.038 0.155
0.250 0.438 0.842
```